Record 1
Rb3Cu2Br2Cl4 | PBE-GGA | relaxed

Geometry as POSCAR:
```
Rb3Cu2Br2Cl4
1.0
-2.701 1.214 -3.812
-3.059 -3.590 1.025
-4.506 9.755 9.356
Rb Cu Br Cl
3 2 2 4
Direct
0.000 0.000 0.000
0.177 0.177 0.353
0.823 0.823 0.647
0.399 0.399 0.798
0.601 0.601 0.202
0.306 0.306 0.613
0.694 0.694 0.387
0.416 0.916 0.832
0.916 0.416 0.832
0.084 0.584 0.168
0.584 0.084 0.168
```

## Properties
The magnetic moment comes out at 0.00 μB/cell. As for the space group: I4/mmm, No. 139.

Record 2
NpSeBr2 | PBE-GGA | relaxed

Geometry as POSCAR:
```
NpSeBr2
1.0
-3.455 0.490 1.598
0.395 -4.854 -2.268
3.277 -0.174 7.136
Np Se Br
1 1 2
Direct
0.726 0.453 0.375
0.438 0.877 0.375
0.088 0.177 0.091
0.247 0.494 0.659
```

## Properties
The magnetic moment comes out at 3.00 μB/cell. As for the space group: Cm, No. 8. Its energy above the lowest structure with this stoichiometry is 0 meV/atom.

Number 1: V 322.27 Å³/cell, DFT total energy -3.21 eV/atom, raw formation energy -1.23 eV per atom. Number 2: V 141.36 Å³/cell, DFT total energy -5.98 eV/atom, raw formation energy -1.04 eV per atom.